Density functional theory data (PBE) for a geometry-optimized ScPaAsSe structure.

Output
Size of the total moment   0.726 μB per cell
Uncorrected formation energy   -1.2211 eV per atom

Unit cell a=7.4824 b=7.4824 c=7.4824 alpha=29.68 beta=29.68 gamma=29.68
Sites, in units of the cell vectors:
Sc  0.0000  0.0000  0.0000
Pa  0.1783  0.1783  0.1783
As  0.5954  0.5954  0.5954
Se  0.7520  0.7520  0.7520

---

Density functional theory data (PBE) for a geometry-optimized KAl2Rh structure.

Output
Energy of formation from the pure elements   0.4904 eV per atom
Size of the total moment   0.000 μB per cell

Unit cell a=3.0832 b=4.9048 c=5.0948 alpha=90.00 beta=90.00 gamma=90.00
Sites, in units of the cell vectors:
K  0.0000  0.0000  0.0000
Al  0.0000  0.5000  0.5000
Al  0.5000  0.5000  0.0000
Rh  0.5000  0.0000  0.5000

---

Density functional theory data (PBE) for a geometry-optimized In7Pb3 structure.

Output
Energy of formation from the pure elements   0.0122 eV per atom
Size of the total moment   0.000 μB per cell

Unit cell a=8.8376 b=8.8376 c=6.7023 alpha=96.36 beta=96.36 gamma=33.39
Sites, in units of the cell vectors:
In  0.0000  0.0000  0.0000
In  0.2018  0.2018  0.6041
In  0.4018  0.4018  0.2006
In  0.4020  0.4020  0.7012
In  0.5980  0.5980  0.2988
In  0.5982  0.5982  0.7994
In  0.7982  0.7982  0.3959
Pb  0.0000  0.0000  0.5000
Pb  0.2000  0.2000  0.1084
Pb  0.8000  0.8000  0.8916

---

Density functional theory data (PBE) for a geometry-optimized SrNbAs2Br structure.

Output
Size of the total moment   0.000 μB per cell
Uncorrected formation energy   -0.5957 eV per atom

Unit cell a=5.0447 b=5.0447 c=5.3475 alpha=90.00 beta=90.00 gamma=90.00
Sites, in units of the cell vectors:
Sr  0.0000  0.0000  0.0000
Nb  0.5000  0.5000  0.5000
As  0.0000  0.5000  0.5000
As  0.5000  0.0000  0.5000
Br  0.5000  0.5000  0.0000

---

Density functional theory data (PBE) for a geometry-optimized La5Sb4H structure.

Output
Size of the total moment   0.000 μB per cell
VASP energy   -5.4693 eV/atom

Unit cell a=7.8720 b=7.8720 c=7.8720 alpha=99.75 beta=99.75 gamma=131.40
Sites, in units of the cell vectors:
La  0.0000  0.0000  0.0000
La  0.2529  0.6557  0.8007
La  0.4522  0.2529  0.5972
La  0.6557  0.8550  0.4028
La  0.8550  0.4522  0.1993
Sb  0.1520  0.3527  0.3964
Sb  0.3527  0.9562  0.2007
Sb  0.7556  0.1520  0.7993
Sb  0.9562  0.7556  0.6036
H  0.6175  0.6175  0.0000

---

Density functional theory data (PBE) for a geometry-optimized SrLaFe4 structure.

Output
Energy of formation from the pure elements   0.3089 eV per atom
Size of the total moment   8.285 μB per cell

Unit cell a=5.3236 b=5.3236 c=5.3236 alpha=60.00 beta=60.00 gamma=60.00
Sites, in units of the cell vectors:
Sr  0.0000  0.0000  0.0000
La  0.2500  0.2500  0.2500
Fe  0.1285  0.6238  0.6238
Fe  0.6238  0.1285  0.6238
Fe  0.6238  0.6238  0.1285
Fe  0.6238  0.6238  0.6238

---

Density functional theory data (PBE) for a geometry-optimized TbPmPaSn structure.

Output
Energy of formation from the pure elements   0.0175 eV per atom
Size of the total moment   1.259 μB per cell

Unit cell a=5.3860 b=5.3860 c=5.3860 alpha=60.00 beta=60.00 gamma=60.00
Sites, in units of the cell vectors:
Tb  0.0000  0.0000  0.0000
Pm  0.5000  0.5000  0.5000
Pa  0.7500  0.7500  0.7500
Sn  0.2500  0.2500  0.2500

---

Density functional theory data (PBE) for a geometry-optimized MgIrSe2 structure.

Output
Size of the total moment   0.000 μB per cell
Uncorrected formation energy   -0.2242 eV per atom

Unit cell a=8.0199 b=8.0199 c=8.0199 alpha=26.31 beta=26.31 gamma=26.31
Sites, in units of the cell vectors:
Mg  0.0000  0.0000  0.0000
Ir  0.2368  0.2368  0.2368
Se  0.5233  0.5233  0.5233
Se  0.7320  0.7320  0.7320

---

Density functional theory data (PBE) for a geometry-optimized Cs2Nd2HfSe6 structure.

Output
Size of the total moment   0.000 μB per cell
Uncorrected formation energy   -1.6318 eV per atom

Unit cell a=7.2479 b=7.2479 c=8.9391 alpha=98.24 beta=98.24 gamma=119.48
Sites, in units of the cell vectors:
Cs  0.1720  0.8280  0.0000
Cs  0.8280  0.1720  0.0000
Nd  0.3331  0.6669  0.5000
Nd  0.6669  0.3331  0.5000
Hf  0.0000  0.0000  0.5000
Se  0.0651  0.3716  0.6835
Se  0.2418  0.2418  0.3181
Se  0.3716  0.0651  0.6835
Se  0.6284  0.9349  0.3165
Se  0.7582  0.7582  0.6819
Se  0.9349  0.6284  0.3165

---

Density functional theory data (PBE) for a geometry-optimized SmNiP structure.

Output
Energy of formation from the pure elements   -1.1807 eV per atom
Size of the total moment   0.000 μB per cell

Unit cell a=3.9437 b=3.9437 c=15.9347 alpha=90.00 beta=90.00 gamma=120.00
Sites, in units of the cell vectors:
Sm  0.0000  0.0000  0.0000
Sm  0.0000  0.0000  0.2500
Sm  0.0000  0.0000  0.5000
Sm  0.0000  0.0000  0.7500
Ni  0.3333  0.6667  0.1256
Ni  0.3333  0.6667  0.3744
Ni  0.6667  0.3333  0.6256
Ni  0.6667  0.3333  0.8744
P  0.3333  0.6667  0.6246
P  0.3333  0.6667  0.8754
P  0.6667  0.3333  0.1246
P  0.6667  0.3333  0.3754